This record from the Alexandria database describes an optimized crystal structure of KPaTe4Pb2. The functional is PBE-GGA.

```
KPaTe4Pb2
1.0
-3.275 3.275 6.612
3.275 -3.275 6.612
3.275 3.275 -6.612
K Pa Te Pb
1 1 4 2
direct
0.000 0.000 0.000
0.250 0.750 0.500
0.015 0.515 0.500
0.257 0.257 0.000
0.485 0.985 0.500
0.743 0.743 0.000
0.500 0.500 0.000
0.750 0.250 0.500
```

Results
- ΔE_f (raw) (meV per atom) = -548.6


This record from the Alexandria database describes an optimized crystal structure of VRhI. The functional is PBE-GGA.

```
VRhI
1.0
3.967 0.000 0.000
0.000 1.954 8.853
0.000 -1.954 8.853
V Rh I
2 2 2
direct
0.000 0.000 0.000
0.500 0.498 0.498
0.000 0.412 0.412
0.500 0.906 0.906
0.000 0.792 0.792
0.500 0.110 0.110
```

Results
- relative energy among the computed polymorphs (meV/atom) = 0.0
- ΔE_f (raw) (meV per atom) = -195.3


This record from the Alexandria database describes an optimized crystal structure of ZnP2Rh. The functional is PBE-GGA.

```
ZnP2Rh
1.0
3.607 0.000 0.000
0.000 4.284 0.000
-0.016 0.000 4.034
Zn P Rh
1 2 1
direct
0.000 0.000 0.000
0.238 0.500 0.325
0.762 0.500 0.675
0.500 0.000 0.500
```

Results
- energy relative to the elements (meV/atom) = -118